Here is a relaxed Al2WBr crystal from Alexandria. Energies are from PBEsol.

Cell lengths 5.120, 5.120, 4.785 Å; angles 96.75, 96.75, 32.90 degrees
Fractional coordinates of all 4 atoms:
Al (0.231, 0.231, 0.232)
Al (0.769, 0.769, 0.768)
W (0.500, 0.500, 0.000)
Br (0.000, 0.000, 0.500)

Output
The energy comes out at -5.43 eV/atom. The calculation puts the energy relative to the elements, uncorrected at 0.54 eV/atom.